1.
The following is a PBE calculation of crystalline LiCrTe2I at its relaxed geometry, from the Alexandria database.

Unit cell a=5.217 b=5.217 c=5.963 alpha=90.00 beta=90.00 gamma=90.00
Atoms (fractional coordinates):
I: 0.000 0.000 0.500
Te: 0.000 0.500 0.000
Te: 0.500 0.000 0.000
Li: 0.500 0.500 0.500
Cr: 0.000 0.000 0.000

Output
* density: 4.513 g cm⁻³
* total energy: -3.9422 eV/atom



2.
The following is a PBE calculation of crystalline Mg3CrI8 at its relaxed geometry, from the Alexandria database.

Unit cell a=8.360 b=8.358 c=9.089 alpha=118.20 beta=90.00 gamma=120.01
Atoms (fractional coordinates):
Mg: 0.500 0.500 0.000
Mg: 0.500 0.000 0.000
Mg: 0.000 0.500 0.000
Cr: 0.000 0.000 0.000
I: 0.742 0.485 0.221
I: 0.762 0.523 0.783
I: 0.761 0.016 0.783
I: 0.239 0.984 0.217
I: 0.746 0.984 0.217
I: 0.254 0.016 0.783
I: 0.238 0.477 0.217
I: 0.258 0.515 0.779

Output
* density: 4.108 g cm⁻³
* total energy: -3.0820 eV/atom



no.,uncorrected formation energy (eV per atom)
1,-0.0681
2,-0.8480